CePd6Au12 (PBE, relaxed); total magnetic moment = 0.9 μB per formula unit; ΔH_f (0 K) = -0.526 eV/f.u.; VASP energy = -4.05 eV per atom
1.0
6.075 3.507 2.929
-6.075 3.507 2.929
0.000 -7.014 2.929
Ce Pd Au
1 6 12
direct
0.000 0.000 0.000
0.301 0.301 0.684
0.301 0.684 0.301
0.316 0.699 0.699
0.684 0.301 0.301
0.699 0.316 0.699
0.699 0.699 0.316
0.099 0.356 0.356
0.115 0.500 0.885
0.115 0.885 0.500
0.356 0.099 0.356
0.356 0.356 0.099
0.500 0.115 0.885
0.500 0.885 0.115
0.644 0.644 0.901
0.644 0.901 0.644
0.885 0.115 0.500
0.885 0.500 0.115
0.901 0.644 0.644

***

CePd9Au2 (PBE, relaxed); total magnetic moment = 0.0 μB per formula unit; ΔH_f (0 K) = -3.816 eV/f.u.; VASP energy = -5.25 eV per atom
1.0
4.093 0.000 0.000
0.000 4.093 0.000
0.000 0.000 11.930
Ce Pd Au
1 9 2
direct
0.000 0.000 0.000
0.000 0.500 0.170
0.000 0.500 0.500
0.000 0.500 0.830
0.500 0.000 0.170
0.500 0.000 0.500
0.500 0.000 0.830
0.500 0.500 0.000
0.500 0.500 0.335
0.500 0.500 0.665
0.000 0.000 0.339
0.000 0.000 0.661

***

CePd2Au6 (PBE, relaxed); total magnetic moment = 0.6 μB per formula unit; ΔH_f (0 K) = -2.713 eV/f.u.; VASP energy = -4.30 eV per atom; polymorph energy (0 for the lowest one) = 0 meV per atom
1.0
6.451 -2.083 0.000
6.451 2.083 0.000
-2.163 0.000 6.265
Ce Pd Au
1 2 6
direct
0.000 0.000 0.000
0.451 0.451 0.676
0.549 0.549 0.324
0.109 0.109 0.655
0.230 0.230 0.342
0.327 0.327 0.987
0.673 0.673 0.013
0.770 0.770 0.658
0.891 0.891 0.345